Record 1
Sm4SiPBr2 PBE relaxed; SG = P2/m; E_tot = -5.413 eV/atom; D(E_F) = 0.3839 states/eV/atom; formation energy from raw total energies = -29.546 kcal/mol of atoms
1.0
7.204 0.000 0.000
0.000 4.169 0.000
-2.409 0.000 7.252
Sm Si P Br
4 1 1 2
Direct
0.231 0.000 0.202
0.262 0.500 0.795
0.738 0.500 0.205
0.769 0.000 0.798
0.500 0.000 0.000
0.000 0.500 0.000
0.000 0.000 0.500
0.500 0.500 0.500



Record 2
GaTe2H2 PBE relaxed; SG = P-1; E_tot = -3.155 eV/atom; D(E_F) = 0.1208 states/eV/atom
1.0
5.899 0.000 0.000
-1.112 6.694 0.000
-2.669 -3.126 6.747
Ga Te H
2 4 4
Direct
0.236 0.306 0.440
0.764 0.694 0.560
0.303 0.963 0.191
0.352 0.500 0.221
0.648 0.500 0.779
0.697 0.037 0.809
0.036 0.746 0.566
0.378 0.924 0.687
0.622 0.076 0.313
0.964 0.254 0.434



Record 3
ReMoSe2 PBE relaxed; SG = I-4m2; E_tot = -6.905 eV/atom; energy relative to the lowest polymorph listed for this composition = 734 meV/atom; D(E_F) = 0.7856 states/eV/atom; formation energy from raw total energies = 15.158 kcal/mol of atoms
1.0
-2.040 2.040 3.928
2.040 -2.040 3.928
2.040 2.040 -3.928
Re Mo Se
1 1 2
Direct
0.000 0.000 0.000
0.750 0.250 0.500
0.250 0.750 0.500
0.500 0.500 0.000



Record 4
AlSbAs PBE relaxed; SG = Cm; E_tot = -4.368 eV/atom; D(E_F) = 0.0296 states/eV/atom; formation energy from raw total energies = -4.532 kcal/mol of atoms
1.0
3.525 -2.035 0.000
3.525 2.035 0.000
-0.020 0.000 12.401
Al Sb As
2 2 2
Direct
0.000 0.000 0.000
0.667 0.667 0.147
0.663 0.663 0.507
0.996 0.996 0.641
0.001 0.001 0.214
0.666 0.666 0.933



Record 5
TaAlHg3 PBE relaxed; ΔE_f = 1.03 eV per atom; SG = Pm-3m; E_tot = -2.272 eV/atom; energy relative to the lowest polymorph listed for this composition = 0 meV/atom; D(E_F) = 1.5913 states/eV/atom
1.0
5.420 0.000 0.000
0.000 5.420 0.000
0.000 0.000 5.420
Ta Al Hg
1 1 3
Direct
0.000 0.000 0.000
0.500 0.500 0.500
0.000 0.000 0.500
0.000 0.500 0.000
0.500 0.000 0.000



Record 6
Pm2Pr3Sm3 PBE relaxed; ΔE_f = 0.12 eV per atom; SG = P2_1/m; E_tot = -4.626 eV/atom; energy relative to the lowest polymorph listed for this composition = 110 meV/atom; D(E_F) = 1.5631 states/eV/atom
1.0
5.677 0.000 0.000
0.000 16.578 0.000
-2.834 0.000 6.044
Pm Pr Sm
4 6 6
Direct
0.224 0.131 0.449
0.224 0.369 0.449
0.776 0.631 0.551
0.776 0.869 0.551
0.381 0.551 0.762
0.381 0.949 0.762
0.461 0.250 0.924
0.539 0.750 0.076
0.619 0.051 0.238
0.619 0.449 0.238
0.077 0.591 0.153
0.077 0.909 0.153
0.259 0.750 0.518
0.741 0.250 0.482
0.923 0.091 0.847
0.923 0.409 0.847



Record 7
AlBrCl2 PBE relaxed; SG = R3m; E_tot = -2.834 eV/atom; energy relative to the lowest polymorph listed for this composition = 787 meV/atom; D(E_F) = 0.2609 states/eV/atom; formation energy from raw total energies = -12.835 kcal/mol of atoms
1.0
1.858 1.073 7.238
-1.858 1.073 7.238
0.000 -2.145 7.238
Al Br Cl
1 1 2
Direct
0.000 0.000 0.000
0.733 0.733 0.733
0.274 0.274 0.274
0.502 0.502 0.502



Record 8
Nb5AlC PBE relaxed; ΔE_f = -0.19 eV per atom; SG = C2/c; E_tot = -9.236 eV/atom; D(E_F) = 0.6447 states/eV/atom
1.0
3.720 -3.988 0.000
3.720 3.988 0.000
-1.394 0.000 7.776
Nb Al C
10 2 2
Direct
0.108 0.639 0.369
0.113 0.887 0.750
0.181 0.357 0.975
0.357 0.181 0.475
0.361 0.892 0.131
0.639 0.108 0.869
0.643 0.819 0.525
0.819 0.643 0.025
0.887 0.113 0.250
0.892 0.361 0.631
0.452 0.548 0.750
0.548 0.452 0.250
0.000 0.000 0.000
0.000 0.000 0.500



Which of these has the lowest E_tot?
Nb5AlC